# 1
A plane-wave DFT calculation with PBE was carried out for a geometry-optimized ScCuNi6 structure.

Structure (CIF):
```
data_ScCuNi6
_cell_length_a 7.199
_cell_length_b 10.308
_cell_length_c 10.310
_cell_angle_alpha 90.00
_cell_angle_beta 90.00
_cell_angle_gamma 90.00
_symmetry_space_group_name_H-M 'C m m m'
_symmetry_Int_Tables_number 65
_symmetry_space_group_name_Hall '-C 2 2'
loop_
_atom_site_label
_atom_site_type_symbol
_atom_site_fract_x
_atom_site_fract_y
_atom_site_fract_z
Sc1 Sc 0.000 0.000 0.248
Sc2 Sc 0.000 0.244 0.500
Cu1 Cu 0.000 0.241 0.000
Cu2 Cu 0.000 0.500 0.245
Ni1 Ni 0.000 0.000 0.000
Ni2 Ni 0.000 0.000 0.500
Ni3 Ni 0.000 0.254 0.242
Ni4 Ni 0.000 0.500 0.000
Ni5 Ni 0.000 0.500 0.500
Ni6 Ni 0.240 0.378 0.369
Ni7 Ni 0.241 0.372 0.120
```

---

# 2
A plane-wave DFT calculation with PBE was carried out for a geometry-optimized ScCuNi2 structure.

Structure (CIF):
```
data_ScCuNi2
_cell_length_a 3.727
_cell_length_b 3.727
_cell_length_c 16.873
_cell_angle_alpha 90.00
_cell_angle_beta 90.00
_cell_angle_gamma 90.00
_symmetry_space_group_name_H-M 'I -4 2 d'
_symmetry_Int_Tables_number 122
_symmetry_space_group_name_Hall 'I -4 2bw'
loop_
_atom_site_label
_atom_site_type_symbol
_atom_site_fract_x
_atom_site_fract_y
_atom_site_fract_z
Sc1 Sc 0.000 0.000 0.000
Cu1 Cu 0.000 0.000 0.500
Ni1 Ni 0.208 0.250 0.625
```

---

# 3
A plane-wave DFT calculation with PBE was carried out for a geometry-optimized Sc2Cu6Ni structure.

Structure (CIF):
```
data_Sc2Cu6Ni
_cell_length_a 11.870
_cell_length_b 3.639
_cell_length_c 6.158
_cell_angle_alpha 90.00
_cell_angle_beta 110.46
_cell_angle_gamma 90.00
_symmetry_space_group_name_H-M 'C 1 2/m 1'
_symmetry_Int_Tables_number 12
loop_
_symmetry_equiv_pos_as_xyz
'x,y,z'
'-x,-y,-z'
'-x,y,-z'
'x,-y,z'
'x+1/2,y+1/2,z'
'-x+1/2,-y+1/2,-z'
'-x+1/2,y+1/2,-z'
'x+1/2,-y+1/2,z'
loop_
_atom_site_label
_atom_site_type_symbol
_atom_site_fract_x
_atom_site_fract_y
_atom_site_fract_z
Sc1 Sc 0.059 0.000 0.315
Cu1 Cu 0.115 0.500 0.679
Cu2 Cu 0.172 0.000 0.998
Cu3 Cu 0.229 0.500 0.321
Ni1 Ni 0.000 0.500 0.000
```

---

# 4
A plane-wave DFT calculation with PBE was carried out for a geometry-optimized ScCu23Ni6 structure.

Structure (CIF):
```
data_ScCu23Ni6
_cell_length_a 11.401
_cell_length_b 11.401
_cell_length_c 11.401
_cell_angle_alpha 90.00
_cell_angle_beta 90.00
_cell_angle_gamma 90.00
_symmetry_space_group_name_H-M 'F m -3 m'
_symmetry_Int_Tables_number 225
_symmetry_space_group_name_Hall '-F 4 2 3'
loop_
_atom_site_label
_atom_site_type_symbol
_atom_site_fract_x
_atom_site_fract_y
_atom_site_fract_z
Sc1 Sc 0.000 0.000 0.000
Cu1 Cu 0.000 0.000 0.500
Cu2 Cu 0.000 0.250 0.250
Cu3 Cu 0.126 0.126 0.374
Cu4 Cu 0.137 0.137 0.137
Ni1 Ni 0.000 0.000 0.247
```

---

# 5
A plane-wave DFT calculation with PBE was carried out for a geometry-optimized Sc8Cu2Ni structure.

Structure (CIF):
```
data_Sc8Cu2Ni
_cell_length_a 15.862
_cell_length_b 4.730
_cell_length_c 6.263
_cell_angle_alpha 90.00
_cell_angle_beta 108.49
_cell_angle_gamma 90.00
_symmetry_space_group_name_H-M 'C 1 2/m 1'
_symmetry_Int_Tables_number 12
loop_
_symmetry_equiv_pos_as_xyz
'x,y,z'
'-x,-y,-z'
'-x,y,-z'
'x,-y,z'
'x+1/2,y+1/2,z'
'-x+1/2,-y+1/2,-z'
'-x+1/2,y+1/2,-z'
'x+1/2,-y+1/2,z'
loop_
_atom_site_label
_atom_site_type_symbol
_atom_site_fract_x
_atom_site_fract_y
_atom_site_fract_z
Sc1 Sc 0.030 0.000 0.288
Sc2 Sc 0.093 0.500 0.944
Sc3 Sc 0.166 0.500 0.472
Sc4 Sc 0.198 0.000 0.811
Cu1 Cu 0.182 0.000 0.210
Ni1 Ni 0.000 0.500 0.500
```

Calculated values
ΔE to the lowest computed polymorph	0	meV per atom

---

# 6
A plane-wave DFT calculation with PBE was carried out for a geometry-optimized Sc2CuNi structure.

Structure (CIF):
```
data_Sc2CuNi
_cell_length_a 6.390
_cell_length_b 3.655
_cell_length_c 6.713
_cell_angle_alpha 90.00
_cell_angle_beta 108.12
_cell_angle_gamma 90.00
_symmetry_space_group_name_H-M 'C 1 2/m 1'
_symmetry_Int_Tables_number 12
loop_
_symmetry_equiv_pos_as_xyz
'x,y,z'
'-x,-y,-z'
'-x,y,-z'
'x,-y,z'
'x+1/2,y+1/2,z'
'-x+1/2,-y+1/2,-z'
'-x+1/2,y+1/2,-z'
'x+1/2,-y+1/2,z'
loop_
_atom_site_label
_atom_site_type_symbol
_atom_site_fract_x
_atom_site_fract_y
_atom_site_fract_z
Sc1 Sc 0.243 0.000 0.230
Cu1 Cu 0.000 0.000 0.500
Ni1 Ni 0.000 0.500 0.000
```

---

# 7
A plane-wave DFT calculation with PBE was carried out for a geometry-optimized Sc2Cu5Ni5 structure.

Structure (CIF):
```
data_Sc2Cu5Ni5
_cell_length_a 3.995
_cell_length_b 4.847
_cell_length_c 8.335
_cell_angle_alpha 90.00
_cell_angle_beta 90.00
_cell_angle_gamma 90.00
_symmetry_space_group_name_H-M 'P m m m'
_symmetry_Int_Tables_number 47
loop_
_symmetry_equiv_pos_as_xyz
'x,y,z'
'-x,-y,-z'
'-x,-y,z'
'x,y,-z'
'x,-y,-z'
'-x,y,z'
'-x,y,-z'
'x,-y,z'
loop_
_atom_site_label
_atom_site_type_symbol
_atom_site_fract_x
_atom_site_fract_y
_atom_site_fract_z
Sc1 Sc 0.000 0.000 0.000
Sc2 Sc 0.000 0.500 0.500
Cu1 Cu 0.000 0.000 0.330
Cu2 Cu 0.000 0.500 0.168
Cu3 Cu 0.500 0.000 0.500
Ni1 Ni 0.500 0.250 0.248
Ni2 Ni 0.500 0.500 0.000
```

---

# 8
A plane-wave DFT calculation with PBE was carried out for a geometry-optimized Sc2CuNi structure.

Structure (CIF):
```
data_Sc2CuNi
_cell_length_a 4.0856
_cell_length_b 4.0856
_cell_length_c 15.5056
_cell_angle_alpha 90.00
_cell_angle_beta 90.00
_cell_angle_gamma 120.00
_symmetry_space_group_name_H-M 'R 3 m'
_symmetry_Int_Tables_number 160
_symmetry_space_group_name_Hall 'R 3 -2"'
loop_
_atom_site_label
_atom_site_type_symbol
_atom_site_fract_x
_atom_site_fract_y
_atom_site_fract_z
Sc1 Sc 0.0000 0.0000 0.0000
Sc2 Sc 0.0000 0.0000 0.1898
Cu1 Cu 0.0000 0.0000 0.4229
Ni1 Ni 0.0000 0.0000 0.7678
```

---

# 9
A plane-wave DFT calculation with PBE was carried out for a geometry-optimized Sc2Cu3Ni structure.

Structure (CIF):
```
data_Sc2Cu3Ni
_cell_length_a 8.687
_cell_length_b 4.973
_cell_length_c 5.017
_cell_angle_alpha 90.00
_cell_angle_beta 124.98
_cell_angle_gamma 90.00
_symmetry_space_group_name_H-M 'C 1 2/m 1'
_symmetry_Int_Tables_number 12
loop_
_symmetry_equiv_pos_as_xyz
'x,y,z'
'-x,-y,-z'
'-x,y,-z'
'x,-y,z'
'x+1/2,y+1/2,z'
'-x+1/2,-y+1/2,-z'
'-x+1/2,y+1/2,-z'
'x+1/2,-y+1/2,z'
loop_
_atom_site_label
_atom_site_type_symbol
_atom_site_fract_x
_atom_site_fract_y
_atom_site_fract_z
Sc1 Sc 0.126 0.000 0.372
Cu1 Cu 0.000 0.500 0.500
Cu2 Cu 0.250 0.250 0.000
Ni1 Ni 0.000 0.500 0.000
```

---

# 10
A plane-wave DFT calculation with PBE was carried out for a geometry-optimized Sc2CuNi structure.

Structure (CIF):
```
data_Sc2CuNi
_cell_length_a 3.881
_cell_length_b 3.881
_cell_length_c 8.738
_cell_angle_alpha 90.00
_cell_angle_beta 90.00
_cell_angle_gamma 90.00
_symmetry_space_group_name_H-M 'I -4 m 2'
_symmetry_Int_Tables_number 119
_symmetry_space_group_name_Hall 'I -4 -2'
loop_
_atom_site_label
_atom_site_type_symbol
_atom_site_fract_x
_atom_site_fract_y
_atom_site_fract_z
Sc1 Sc 0.000 0.000 0.000
Sc2 Sc 0.000 0.500 0.250
Cu1 Cu 0.000 0.500 0.750
Ni1 Ni 0.000 0.000 0.500
```

---

# 11
A plane-wave DFT calculation with PBE was carried out for a geometry-optimized Sc2CuNi structure.

Structure (CIF):
```
data_Sc2CuNi
_cell_length_a 7.077
_cell_length_b 7.077
_cell_length_c 5.654
_cell_angle_alpha 90.00
_cell_angle_beta 90.00
_cell_angle_gamma 90.00
_symmetry_space_group_name_H-M 'I -4 2 d'
_symmetry_Int_Tables_number 122
_symmetry_space_group_name_Hall 'I -4 2bw'
loop_
_atom_site_label
_atom_site_type_symbol
_atom_site_fract_x
_atom_site_fract_y
_atom_site_fract_z
Sc1 Sc 0.230 0.250 0.125
Cu1 Cu 0.000 0.000 0.500
Ni1 Ni 0.000 0.000 0.000
```

---

# 12
A plane-wave DFT calculation with PBE was carried out for a geometry-optimized ScCu3Ni2 structure.

Structure (CIF):
```
data_ScCu3Ni2
_cell_length_a 5.3315
_cell_length_b 5.3315
_cell_length_c 18.9766
_cell_angle_alpha 90.00
_cell_angle_beta 90.00
_cell_angle_gamma 120.00
_symmetry_space_group_name_H-M 'R -3 m'
_symmetry_Int_Tables_number 166
_symmetry_space_group_name_Hall '-R 3 2"'
loop_
_atom_site_label
_atom_site_type_symbol
_atom_site_fract_x
_atom_site_fract_y
_atom_site_fract_z
Sc1 Sc 0.0000 0.0000 0.2263
Cu1 Cu 0.0084 0.5042 0.2257
Ni1 Ni 0.0000 0.0000 0.0000
Ni2 Ni 0.0000 0.5000 0.0000
```

---

# 13
A plane-wave DFT calculation with PBE was carried out for a geometry-optimized Sc2CuNi structure.

Structure (CIF):
```
data_Sc2CuNi
_cell_length_a 6.422
_cell_length_b 6.422
_cell_length_c 6.422
_cell_angle_alpha 90.00
_cell_angle_beta 90.00
_cell_angle_gamma 90.00
_symmetry_space_group_name_H-M 'F m -3 m'
_symmetry_Int_Tables_number 225
_symmetry_space_group_name_Hall '-F 4 2 3'
loop_
_atom_site_label
_atom_site_type_symbol
_atom_site_fract_x
_atom_site_fract_y
_atom_site_fract_z
Sc1 Sc 0.250 0.250 0.250
Cu1 Cu 0.000 0.000 0.000
Ni1 Ni 0.000 0.000 0.500
```

---

# 14
A plane-wave DFT calculation with PBE was carried out for a geometry-optimized Sc2CuNi structure.

Structure (CIF):
```
data_Sc2CuNi
_cell_length_a 3.282
_cell_length_b 3.282
_cell_length_c 6.484
_cell_angle_alpha 90.00
_cell_angle_beta 90.00
_cell_angle_gamma 90.00
_symmetry_space_group_name_H-M 'P 4 m m'
_symmetry_Int_Tables_number 99
loop_
_symmetry_equiv_pos_as_xyz
'x,y,z'
'-y,x,z'
'-x,-y,z'
'y,-x,z'
'-x,y,z'
'y,x,z'
'x,-y,z'
'-y,-x,z'
loop_
_atom_site_label
_atom_site_type_symbol
_atom_site_fract_x
_atom_site_fract_y
_atom_site_fract_z
Sc1 Sc 0.000 0.000 0.000
Sc2 Sc 0.500 0.500 0.380
Cu1 Cu 0.000 0.000 0.595
Ni1 Ni 0.500 0.500 0.794
```

---

# 15
A plane-wave DFT calculation with PBE was carried out for a geometry-optimized Sc3CuNi8 structure.

Structure (CIF):
```
data_Sc3CuNi8
_cell_length_a 4.8232
_cell_length_b 4.8232
_cell_length_c 23.6518
_cell_angle_alpha 90.00
_cell_angle_beta 90.00
_cell_angle_gamma 120.00
_symmetry_space_group_name_H-M 'R 3 m'
_symmetry_Int_Tables_number 160
_symmetry_space_group_name_Hall 'R 3 -2"'
loop_
_atom_site_label
_atom_site_type_symbol
_atom_site_fract_x
_atom_site_fract_y
_atom_site_fract_z
Sc1 Sc 0.0000 0.0000 0.0000
Sc2 Sc 0.0000 0.0000 0.1301
Sc3 Sc 0.0000 0.0000 0.5161
Cu1 Cu 0.0000 0.0000 0.6355
Ni1 Ni 0.0000 0.0000 0.3188
Ni2 Ni 0.0000 0.0000 0.8188
Ni3 Ni 0.1674 0.3347 0.4020
Ni4 Ni 0.1679 0.3358 0.9024
```

---

# 16
A plane-wave DFT calculation with PBE was carried out for a geometry-optimized ScCuNi2 structure.

Structure (CIF):
```
data_ScCuNi2
_cell_length_a 2.7909
_cell_length_b 2.7909
_cell_length_c 24.4829
_cell_angle_alpha 90.00
_cell_angle_beta 90.00
_cell_angle_gamma 120.00
_symmetry_space_group_name_H-M 'R -3 m'
_symmetry_Int_Tables_number 166
_symmetry_space_group_name_Hall '-R 3 2"'
loop_
_atom_site_label
_atom_site_type_symbol
_atom_site_fract_x
_atom_site_fract_y
_atom_site_fract_z
Sc1 Sc 0.0000 0.0000 0.0000
Cu1 Cu 0.0000 0.0000 0.5000
Ni1 Ni 0.0000 0.0000 0.2471
```

---

# 17
A plane-wave DFT calculation with PBE was carried out for a geometry-optimized Sc3Cu4Ni2 structure.

Structure (CIF):
```
data_Sc3Cu4Ni2
_cell_length_a 8.532
_cell_length_b 4.308
_cell_length_c 8.127
_cell_angle_alpha 90.00
_cell_angle_beta 112.14
_cell_angle_gamma 90.00
_symmetry_space_group_name_H-M 'C 1 2/m 1'
_symmetry_Int_Tables_number 12
loop_
_symmetry_equiv_pos_as_xyz
'x,y,z'
'-x,-y,-z'
'-x,y,-z'
'x,-y,z'
'x+1/2,y+1/2,z'
'-x+1/2,-y+1/2,-z'
'-x+1/2,y+1/2,-z'
'x+1/2,-y+1/2,z'
loop_
_atom_site_label
_atom_site_type_symbol
_atom_site_fract_x
_atom_site_fract_y
_atom_site_fract_z
Sc1 Sc 0.000 0.000 0.000
Sc2 Sc 0.164 0.000 0.702
Cu1 Cu 0.169 0.500 0.928
Cu2 Cu 0.191 0.000 0.375
Ni1 Ni 0.040 0.500 0.371
```

---

# 18
A plane-wave DFT calculation with PBE was carried out for a geometry-optimized ScCuNi2 structure.

Structure (CIF):
```
data_ScCuNi2
_cell_length_a 5.996
_cell_length_b 5.996
_cell_length_c 5.996
_cell_angle_alpha 90.00
_cell_angle_beta 90.00
_cell_angle_gamma 90.00
_symmetry_space_group_name_H-M 'F -4 3 m'
_symmetry_Int_Tables_number 216
_symmetry_space_group_name_Hall 'F -4 2 3'
loop_
_atom_site_label
_atom_site_type_symbol
_atom_site_fract_x
_atom_site_fract_y
_atom_site_fract_z
Sc1 Sc 0.000 0.000 0.000
Cu1 Cu 0.250 0.250 0.750
Ni1 Ni 0.000 0.000 0.500
Ni2 Ni 0.250 0.250 0.250
```

---

# 19
A plane-wave DFT calculation with PBE was carried out for a geometry-optimized Sc2CuNi structure.

Structure (CIF):
```
data_Sc2CuNi
_cell_length_a 6.297
_cell_length_b 6.297
_cell_length_c 6.297
_cell_angle_alpha 90.00
_cell_angle_beta 90.00
_cell_angle_gamma 90.00
_symmetry_space_group_name_H-M 'F -4 3 m'
_symmetry_Int_Tables_number 216
_symmetry_space_group_name_Hall 'F -4 2 3'
loop_
_atom_site_label
_atom_site_type_symbol
_atom_site_fract_x
_atom_site_fract_y
_atom_site_fract_z
Sc1 Sc 0.000 0.000 0.000
Sc2 Sc 0.250 0.250 0.250
Cu1 Cu 0.000 0.000 0.500
Ni1 Ni 0.250 0.250 0.750
```

---

# 20
A plane-wave DFT calculation with PBE was carried out for a geometry-optimized Sc3Cu2Ni6 structure.

Structure (CIF):
```
data_Sc3Cu2Ni6
_cell_length_a 8.555
_cell_length_b 8.555
_cell_length_c 8.555
_cell_angle_alpha 90.00
_cell_angle_beta 90.00
_cell_angle_gamma 90.00
_symmetry_space_group_name_H-M 'I m -3 m'
_symmetry_Int_Tables_number 229
_symmetry_space_group_name_Hall '-I 4 2 3'
loop_
_atom_site_label
_atom_site_type_symbol
_atom_site_fract_x
_atom_site_fract_y
_atom_site_fract_z
Sc1 Sc 0.000 0.000 0.292
Cu1 Cu 0.250 0.250 0.250
Ni1 Ni 0.000 0.344 0.344
```

---

Record-wise spin magnetization values, in μB per cell: 16.40, 0.00, 0.00, 0.00, 0.00, 0.00, 0.00, 0.00, 0.00, 0.00, 0.00, 0.00, 0.00, 0.00, 0.00, 0.00, 0.00, 0.00, 0.00, 0.00
Record-wise density of states at the Fermi level values, in states/eV/cell: 73.7, 9.2, 7.5, 64.2, 21.6, 2.3, 9.0, 11.9, 7.9, 7.0, 24.7, 34.1, 13.7, 2.0, 37.2, 13.6, 12.1, 10.7, 9.6, 25.5
Record-wise energy of formation values, in meV/atom: -156, 42, -171, 44, -189, -114, -204, -123, -288, -180, 66, -96, -395, -214, -431, 113, -245, -218, -159, -388